First-principles (PBE) data for MnFe2SiAu after structural relaxation, as listed in Alexandria via LeMat-Bulk.

Lattice parameters (Å, degrees): 4.1625 4.8950 4.1625 90.00 90.00 90.00
Last column: magnetic moment on the atom in μB.
Fractional coordinates of all 5 atoms:
1 Si 0.5000 0.5000 0.5000  -0.02
2 Fe 0.5000 0.0000 0.0000  1.78
3 Fe 0.0000 0.0000 0.5000  2.20
4 Au 0.0000 0.5000 0.0000  0.00
5 Mn 0.0000 0.0000 0.0000  -0.84

Properties
**Symmetry**: P4/mmm (123)
**E_form (uncorrected)**: 28.2 kcal/mol of atoms

=====

First-principles (PBE) data for MnZnFeAu after structural relaxation, as listed in Alexandria via LeMat-Bulk.

Lattice parameters (Å, degrees): 4.3252 4.3252 4.3252 60.00 60.00 60.00
Last column: magnetic moment on the atom in μB.
Fractional coordinates of all 4 atoms:
1 Zn 0.0000 0.0000 0.0000  -0.06
2 Au 0.7500 0.7500 0.7500  0.08
3 Fe 0.2500 0.2500 0.2500  2.34
4 Mn 0.5000 0.5000 0.5000  3.27

Properties
**Symmetry**: F-43m (216)
**Formation energy**: 0.48 eV per formula unit

=====

First-principles (PBE) data for FeMoAu2 after structural relaxation, as listed in Alexandria via LeMat-Bulk.

Lattice parameters (Å, degrees): 4.9206 4.9206 4.9964 81.36 81.36 32.44
Last column: magnetic moment on the atom in μB.
Fractional coordinates of all 4 atoms:
1 Fe 0.7500 0.7500 0.7500  2.69
2 Au 0.4983 0.4983 0.5023  -0.02
3 Au 0.0017 0.0017 0.9977  -0.02
4 Mo 0.2500 0.2500 0.2500  -0.37

Properties
**Polymorph energy (0 for the lowest one)**: 0.176 eV per atom
**Symmetry**: C2/m (12)
**Formation energy**: 1.43 eV per formula unit

=====

First-principles (PBE) data for FeMo2Au after structural relaxation, as listed in Alexandria via LeMat-Bulk.

Lattice parameters (Å, degrees): 6.0634 4.9430 2.7140 90.02 63.38 119.36
Last column: magnetic moment on the atom in μB.
Fractional coordinates of all 4 atoms:
1 Au 0.0000 0.5000 0.5000  -0.02
2 Mo 0.5000 0.0000 0.5000  -0.16
3 Mo 0.0000 0.0000 0.0000  -0.16
4 Fe 0.5000 0.5000 0.0000  2.12

Properties
**Polymorph energy (0 for the lowest one)**: 0.113 eV per atom
**Symmetry**: Cmmm (65)
**Formation energy**: 1.11 eV per formula unit

=====

First-principles (PBE) data for FeMo2Au after structural relaxation, as listed in Alexandria via LeMat-Bulk.

Lattice parameters (Å, degrees): 4.4506 4.4506 4.4506 60.00 60.00 60.00
Last column: magnetic moment on the atom in μB.
Fractional coordinates of all 4 atoms:
1 Mo 0.2500 0.2500 0.2500  -0.20
2 Mo 0.7500 0.7500 0.7500  -0.20
3 Au 0.5000 0.5000 0.5000  0.00
4 Fe 0.0000 0.0000 0.0000  2.35

Properties
**Polymorph energy (0 for the lowest one)**: 0.349 eV per atom
**Symmetry**: Fm-3m (225)
**Formation energy**: 2.05 eV per formula unit

=====

First-principles (PBE) data for FeMoAu2 after structural relaxation, as listed in Alexandria via LeMat-Bulk.

Lattice parameters (Å, degrees): 5.3503 5.3503 5.3503 147.16 128.44 62.49
Last column: magnetic moment on the atom in μB.
Fractional coordinates of all 4 atoms:
1 Fe 0.4831 0.4831 0.0000  2.03
2 Mo 0.2852 0.7852 0.5000  -0.51
3 Au 0.7255 0.2255 0.5000  -0.02
4 Au 0.0062 0.0062 0.0000  -0.04

Properties
**Polymorph energy (0 for the lowest one)**: 0.138 eV per atom
**Symmetry**: Imm2 (44)
**Formation energy**: 1.27 eV per formula unit

=====

Sequential N(E_F) output: 1.515, 1.781, 1.133, 1.102, 1.454, 0.714 states/eV per atom
Sequential total moment output: 3.13, 5.71, 2.24, 1.73, 1.90, 1.45 Bohr magnetons per cell